Li2FeSiO4: optimized geometry, PBEsol.

CIF file:
```
data_Li2FeSiO4
_chemical_formula_sum 'Li4 Fe2 Si2 O8'
_space_group_name_H-M_alt 'P 1 c 1'
_space_group_IT_number 7
_cell_length_a 4.964
_cell_length_b 5.383
_cell_length_c 7.876
_cell_angle_alpha 90.00
_cell_angle_beta 128.41
_cell_angle_gamma 90.00
loop_
_space_group_symop_operation_xyz
'x,y,z'
'x,-y,z+1/2'
loop_
_atom_site_label
_atom_site_type_symbol
_atom_site_fract_x
_atom_site_fract_y
_atom_site_fract_z
Li1 Li 0.000 0.157 0.000
Li2 Li 0.250 0.323 0.752
Fe1 Fe 0.742 0.332 0.244
Si1 Si 0.494 0.175 0.499
O1 O 0.162 0.176 0.500
O2 O 0.377 0.322 0.279
O3 O 0.603 0.114 0.999
O4 O 0.821 0.316 0.720
```

## Properties
Total magnetic moment (μB per formula unit): 4.0
Mass density (g/cm³): 3.26
Distance to the lowest polymorph of the same formula (eV/atom): 0.004
Uncorrected formation energy (eV per formula unit): -16.8
Total DFT energy (no corrections) (eV/atom): -7.055
V (Å³ per atom): 10.306

---

LiFeSiO4: optimized geometry, PBEsol.

CIF file:
```
data_LiFeSiO4
_chemical_formula_sum 'Li3 Fe3 Si3 O12'
_space_group_name_H-M_alt 'P 64 2 2'
_space_group_IT_number 181
_space_group_name_Hall 'P 64 2 (0 0 2)'
_cell_length_a 5.3546
_cell_length_b 5.3546
_cell_length_c 12.0119
_cell_angle_alpha 90.00
_cell_angle_beta 90.00
_cell_angle_gamma 120.00
loop_
_atom_site_label
_atom_site_type_symbol
_atom_site_fract_x
_atom_site_fract_y
_atom_site_fract_z
Li1 Li 0.0000 0.0000 0.0000
Fe1 Fe 0.0000 0.5000 0.8333
Si1 Si 0.0000 0.5000 0.3333
O1 O 0.1859 0.3952 0.2586
```

## Properties
Total magnetic moment (μB per formula unit): 5.0
Mass density (g/cm³): 2.59
Distance to the lowest polymorph of the same formula (eV/atom): 0.049
Uncorrected formation energy (eV per formula unit): -14.3
Total DFT energy (no corrections) (eV/atom): -7.431
V (Å³ per atom): 14.203

---

LiFeSiO4: optimized geometry, PBEsol.

CIF file:
```
data_LiFeSiO4
_chemical_formula_sum 'Li4 Fe4 Si4 O16'
_space_group_name_H-M_alt 'P 21 3'
_space_group_IT_number 198
_space_group_name_Hall 'P 2ac 2ab 3'
_cell_length_a 7.175
_cell_length_b 7.175
_cell_length_c 7.175
_cell_angle_alpha 90.00
_cell_angle_beta 90.00
_cell_angle_gamma 90.00
loop_
_atom_site_label
_atom_site_type_symbol
_atom_site_fract_x
_atom_site_fract_y
_atom_site_fract_z
Li1 Li 0.248 0.252 0.748
Fe1 Fe 0.192 0.692 0.808
Si1 Si 0.032 0.032 0.032
O1 O 0.025 0.120 0.820
O2 O 0.162 0.162 0.162
```

## Properties
Total magnetic moment (μB per formula unit): 5.0
Mass density (g/cm³): 2.79
Distance to the lowest polymorph of the same formula (eV/atom): 0.045
Uncorrected formation energy (eV per formula unit): -14.4
Total DFT energy (no corrections) (eV/atom): -7.435
V (Å³ per atom): 13.190